Entry 1:
Here is ZnInPb2 after structural relaxation from Alexandria via LeMat-Bulk. Energies are from GGA-PBEsol. Values from VASP.

Output
crystal system	orthorhombic
V	100	Å³ per cell
energy	-3.046	eV per atom
energy of formation	0.094	eV/atom

Quantum ESPRESSO input file:
```
&SYSTEM
  ibrav = 0, nat = 4, ntyp = 3
/
ATOMIC_SPECIES
Pb 207.20 Pb.upf
Zn 65.41 Zn.upf
In 114.82 In.upf
CELL_PARAMETERS angstrom
3.518 0.000 0.288
0.000 3.670 0.000
-0.630 0.000 7.683
ATOMIC_POSITIONS crystal
Pb 0.000 0.000 0.981
Pb 0.500 0.500 0.290
Zn 0.000 0.000 0.518
In 0.500 0.500 0.712
```

Entry 2:
Here is MnBe4Tc after structural relaxation from Alexandria via LeMat-Bulk. Energies are from GGA-PBEsol. Values from VASP.

Output
crystal system	cubic
V	53	Å³ per cell
energy	-6.464	eV per atom
energy of formation	-0.293	eV/atom

Quantum ESPRESSO input file:
```
&SYSTEM
  ibrav = 0, nat = 6, ntyp = 3
/
ATOMIC_SPECIES
Be 9.01 Be.upf
Mn 54.94 Mn.upf
Tc 98.00 Tc.upf
CELL_PARAMETERS angstrom
-1.631 -3.541 1.607
2.238 -2.302 2.733
-1.135 -0.146 4.058
ATOMIC_POSITIONS crystal
Be 0.375 0.375 0.375
Be 0.375 0.375 0.876
Be 0.876 0.375 0.375
Be 0.375 0.876 0.375
Mn 0.750 0.750 0.750
Tc 0.000 0.000 0.000
```

Entry 3:
Here is Tl2As after structural relaxation from Alexandria via LeMat-Bulk. Energies are from GGA-PBEsol. Values from VASP.

Output
crystal system	cubic
V	87	Å³ per cell
energy	-3.356	eV per atom
energy of formation	0.100	eV/atom
distance to the lowest polymorph of the same formula	51	meV per atom

Quantum ESPRESSO input file:
```
&SYSTEM
  ibrav = 0, nat = 3, ntyp = 2
/
ATOMIC_SPECIES
Tl 204.38 Tl.upf
As 74.92 As.upf
CELL_PARAMETERS angstrom
-4.127 1.094 -2.543
-1.156 -2.577 -4.089
-3.853 -3.138 0.047
ATOMIC_POSITIONS crystal
Tl 0.250 0.250 0.250
Tl 0.750 0.750 0.750
As 0.000 0.000 0.000
```

Entry 4:
Here is SnO after structural relaxation from Alexandria via LeMat-Bulk. Energies are from GGA-PBEsol. Values from VASP.

Output
crystal system	tetragonal
V	69	Å³ per cell
energy	-6.054	eV per atom
raw formation energy	-1.30	eV/atom

Quantum ESPRESSO input file:
```
&SYSTEM
  ibrav = 0, nat = 4, ntyp = 2
/
ATOMIC_SPECIES
Sn 118.71 Sn.upf
O 16.00 O.upf
CELL_PARAMETERS angstrom
-2.236 2.281 -2.068
-2.924 -0.775 2.308
1.197 3.663 2.746
ATOMIC_POSITIONS crystal
Sn 0.000 0.500 0.244
Sn 0.500 0.000 0.756
O 0.500 0.500 0.000
O 0.000 0.000 0.000
```

Entry 5:
Here is NiMoH2 after structural relaxation from Alexandria via LeMat-Bulk. Energies are from GGA-PBEsol. Values from VASP.

Output
crystal system	cubic
V	31	Å³ per cell
energy	-5.743	eV per atom
distance to the lowest polymorph of the same formula	342	meV per atom

Quantum ESPRESSO input file:
```
&SYSTEM
  ibrav = 0, nat = 4, ntyp = 3
/
ATOMIC_SPECIES
Ni 58.69 Ni.upf
Mo 95.94 Mo.upf
H 1.01 H.upf
CELL_PARAMETERS angstrom
-2.917 1.076 -1.652
-2.491 -2.331 -0.872
-3.085 0.003 1.697
ATOMIC_POSITIONS crystal
Ni 0.000 0.000 0.000
Mo 0.500 0.500 0.500
H 0.250 0.250 0.250
H 0.750 0.750 0.750
```

Entry 6:
Here is CuIr3Rh after structural relaxation from Alexandria via LeMat-Bulk. Energies are from GGA-PBEsol. Values from VASP.

Output
crystal system	cubic
V	82	Å³ per cell
energy	-6.487	eV per atom
energy of formation	1.902	eV/atom

Quantum ESPRESSO input file:
```
&SYSTEM
  ibrav = 0, nat = 5, ntyp = 3
/
ATOMIC_SPECIES
Ir 192.22 Ir.upf
Rh 102.91 Rh.upf
Cu 63.55 Cu.upf
CELL_PARAMETERS angstrom
-2.361 1.733 -3.219
0.494 -3.646 -2.324
-3.623 -1.626 1.782
ATOMIC_POSITIONS crystal
Ir 0.000 0.500 0.000
Ir 0.000 0.000 0.500
Ir 0.500 0.000 0.000
Rh 0.500 0.500 0.500
Cu 0.000 0.000 0.000
```

Entry 7:
Here is CdPbSe2 after structural relaxation from Alexandria via LeMat-Bulk. Energies are from GGA-PBEsol. Values from VASP.

Output
crystal system	tetragonal
V	93	Å³ per cell
energy	-3.412	eV per atom
raw formation energy	-0.19	eV/atom

Quantum ESPRESSO input file:
```
&SYSTEM
  ibrav = 0, nat = 4, ntyp = 3
/
ATOMIC_SPECIES
Cd 112.41 Cd.upf
Pb 207.20 Pb.upf
Se 78.96 Se.upf
CELL_PARAMETERS angstrom
-0.829 1.671 3.125
-4.931 -0.735 -0.915
0.211 -4.440 2.430
ATOMIC_POSITIONS crystal
Cd 0.500 0.500 0.000
Pb 0.500 0.000 0.500
Se 0.000 0.000 0.000
Se 0.000 0.500 0.500
```

Entry 8:
Here is LiMg2Cd after structural relaxation from Alexandria via LeMat-Bulk. Energies are from GGA-PBEsol. Values from VASP.

Output
crystal system	monoclinic
V	80	Å³ per cell
energy	-1.747	eV per atom
energy of formation	-0.098	eV/atom

Quantum ESPRESSO input file:
```
&SYSTEM
  ibrav = 0, nat = 4, ntyp = 3
/
ATOMIC_SPECIES
Mg 24.30 Mg.upf
Li 6.94 Li.upf
Cd 112.41 Cd.upf
CELL_PARAMETERS angstrom
3.019 0.009 0.000
-0.781 5.527 0.000
-1.119 -2.768 4.821
ATOMIC_POSITIONS crystal
Mg 0.000 0.000 0.500
Mg 0.500 0.500 0.500
Li 0.000 0.500 0.000
Cd 0.500 0.000 0.000
```

Entry 9:
Here is KRbCrGa2 after structural relaxation from Alexandria via LeMat-Bulk. Energies are from GGA-PBEsol. Values from VASP.

Output
crystal system	tetragonal
V	144	Å³ per cell
energy	-3.386	eV per atom
energy of formation	0.430	eV/atom

Quantum ESPRESSO input file:
```
&SYSTEM
  ibrav = 0, nat = 5, ntyp = 4
/
ATOMIC_SPECIES
Cr 52.00 Cr.upf
K 39.10 K.upf
Ga 69.72 Ga.upf
Rb 85.47 Rb.upf
CELL_PARAMETERS angstrom
4.956 0.000 0.000
0.000 4.956 0.000
0.000 0.000 5.876
ATOMIC_POSITIONS crystal
Cr 0.000 0.000 0.000
K 0.000 0.000 0.500
Ga 0.000 0.500 0.000
Ga 0.500 0.000 0.000
Rb 0.500 0.500 0.500
```

Entry 10:
Here is YPI2O after structural relaxation from Alexandria via LeMat-Bulk. Energies are from GGA-PBEsol. Values from VASP.

Output
crystal system	tetragonal
V	150	Å³ per cell
energy	-4.856	eV per atom
raw formation energy	-0.58	eV/atom
distance to the lowest polymorph of the same formula	0	meV per atom

Quantum ESPRESSO input file:
```
&SYSTEM
  ibrav = 0, nat = 5, ntyp = 4
/
ATOMIC_SPECIES
I 126.90 I.upf
Y 88.91 Y.upf
O 16.00 O.upf
P 30.97 P.upf
CELL_PARAMETERS angstrom
-2.143 -0.776 3.391
-1.861 -5.250 -2.378
4.809 -2.792 2.400
ATOMIC_POSITIONS crystal
I 0.000 0.000 0.500
I 0.000 0.500 0.000
Y 0.000 0.000 0.000
O 0.500 0.000 0.000
P 0.500 0.500 0.500
```

Entry 11:
Here is InPtCl after structural relaxation from Alexandria via LeMat-Bulk. Energies are from GGA-PBEsol. Values from VASP.

Output
crystal system	cubic
V	66	Å³ per cell
energy	-3.817	eV per atom
raw formation energy	0.17	eV/atom

Quantum ESPRESSO input file:
```
&SYSTEM
  ibrav = 0, nat = 3, ntyp = 3
/
ATOMIC_SPECIES
Cl 35.45 Cl.upf
Pt 195.08 Pt.upf
In 114.82 In.upf
CELL_PARAMETERS angstrom
4.535 0.000 0.000
2.267 3.927 0.000
2.267 1.309 3.703
ATOMIC_POSITIONS crystal
Cl 0.500 0.500 0.500
Pt 0.000 0.000 0.000
In 0.250 0.250 0.250
```

Entry 12:
Here is AlAgO2 after structural relaxation from Alexandria via LeMat-Bulk. Energies are from GGA-PBEsol. Values from VASP.

Output
crystal system	trigonal
V	43	Å³ per cell
energy	-6.389	eV per atom
raw formation energy	-1.91	eV/atom

Quantum ESPRESSO input file:
```
&SYSTEM
  ibrav = 0, nat = 4, ntyp = 3
/
ATOMIC_SPECIES
Ag 107.87 Ag.upf
Al 26.98 Al.upf
O 16.00 O.upf
CELL_PARAMETERS angstrom
-1.219 2.467 0.772
-1.577 0.132 2.380
3.983 2.300 4.227
ATOMIC_POSITIONS crystal
Ag 0.161 0.161 0.518
Al 0.998 0.998 0.006
O 0.279 0.279 0.162
O 0.721 0.721 0.838
```